# PBE LiPrPaSe3, relaxed
data_LiPrPaSe3
_chemical_formula_sum 'Li2 Pr2 Pa2 Se6'
_cell_length_a 8.6346
_cell_length_b 3.9817
_cell_length_c 8.8740
_cell_angle_alpha 90.00
_cell_angle_beta 105.21
_cell_angle_gamma 90.00
_symmetry_space_group_name_H-M 'P 1 21/m 1'
_symmetry_Int_Tables_number 11
loop_
_symmetry_equiv_pos_as_xyz
'x,y,z'
'-x,-y,-z'
'-x,y+1/2,-z'
'x,-y+1/2,z'
loop_
_atom_site_label
_atom_site_fract_x
_atom_site_fract_y
_atom_site_fract_z
Li1 0.0860 0.2500 0.0872
Pr1 0.1902 0.2500 0.7270
Pa1 0.3511 0.7500 0.3588
Se1 0.0992 0.2500 0.3703
Se2 0.2194 0.7500 0.0100
Se3 0.4355 0.7500 0.7031
# formation energy (no corrections) = -1.421 eV/atom

***

# PBE LiPr3Pa3Se8, relaxed
data_LiPr3Pa3Se8
_chemical_formula_sum 'Li3 Pr9 Pa9 Se24'
_cell_length_a 8.2035
_cell_length_b 8.2035
_cell_length_c 20.7597
_cell_angle_alpha 90.00
_cell_angle_beta 90.00
_cell_angle_gamma 120.00
_symmetry_space_group_name_H-M 'R -3 m'
_symmetry_Int_Tables_number 166
_symmetry_space_group_name_Hall '-R 3 2"'
loop_
_atom_site_label
_atom_site_fract_x
_atom_site_fract_y
_atom_site_fract_z
Li1 0.0000 0.0000 0.0000
Pr1 0.0000 0.5000 0.5000
Pa1 0.0000 0.5000 0.0000
Se1 0.0000 0.0000 0.2532
Se2 0.0005 0.5002 0.2546
# formation energy (no corrections) = -1.526 eV/atom

***

# PBE LiPr2PaTe5, relaxed
data_LiPr2PaTe5
_chemical_formula_sum 'Li4 Pr8 Pa4 Te20'
_cell_length_a 4.3829
_cell_length_b 18.8721
_cell_length_c 13.4386
_cell_angle_alpha 90.00
_cell_angle_beta 90.00
_cell_angle_gamma 90.00
_symmetry_space_group_name_H-M 'C m c 21'
_symmetry_Int_Tables_number 36
loop_
_symmetry_equiv_pos_as_xyz
'x,y,z'
'-x,-y,z+1/2'
'-x,y,z'
'x,-y,z+1/2'
'x+1/2,y+1/2,z'
'-x+1/2,-y+1/2,z+1/2'
'-x+1/2,y+1/2,z'
'x+1/2,-y+1/2,z+1/2'
loop_
_atom_site_label
_atom_site_fract_x
_atom_site_fract_y
_atom_site_fract_z
Li1 0.0000 0.0571 0.0000
Pr1 0.0000 0.3713 0.8459
Pr2 0.0000 0.3926 0.2304
Pa1 0.0000 0.2995 0.5537
Te1 0.0000 0.0034 0.3230
Te2 0.0000 0.1355 0.5439
Te3 0.0000 0.1873 0.8900
Te4 0.0000 0.2157 0.2144
Te5 0.0000 0.4510 0.6116
# formation energy (no corrections) = -1.137 eV/atom

***

# PBE Li2PrPaTe4, relaxed
data_Li2PrPaTe4
_chemical_formula_sum 'Li2 Pr1 Pa1 Te4'
_cell_length_a 7.6006
_cell_length_b 4.3386
_cell_length_c 7.6060
_cell_angle_alpha 90.00
_cell_angle_beta 109.14
_cell_angle_gamma 90.00
_symmetry_space_group_name_H-M 'P 1 2/m 1'
_symmetry_Int_Tables_number 10
loop_
_symmetry_equiv_pos_as_xyz
'x,y,z'
'-x,-y,-z'
'-x,y,-z'
'x,-y,z'
loop_
_atom_site_label
_atom_site_fract_x
_atom_site_fract_y
_atom_site_fract_z
Li1 0.0000 0.0000 0.0000
Li2 0.5000 0.5000 0.0000
Pr1 0.0000 0.5000 0.5000
Pa1 0.5000 0.0000 0.5000
Te1 0.2520 0.5000 0.2364
Te2 0.2642 0.0000 0.7660
# formation energy (no corrections) = -1.056 eV/atom

***

# PBE LiPrPaTe3, relaxed
data_LiPrPaTe3
_chemical_formula_sum 'Li2 Pr2 Pa2 Te6'
_cell_length_a 9.2007
_cell_length_b 4.2144
_cell_length_c 9.5985
_cell_angle_alpha 90.00
_cell_angle_beta 106.77
_cell_angle_gamma 90.00
_symmetry_space_group_name_H-M 'P 1 21/m 1'
_symmetry_Int_Tables_number 11
loop_
_symmetry_equiv_pos_as_xyz
'x,y,z'
'-x,-y,-z'
'-x,y+1/2,-z'
'x,-y+1/2,z'
loop_
_atom_site_label
_atom_site_fract_x
_atom_site_fract_y
_atom_site_fract_z
Li1 0.0859 0.2500 0.0921
Pr1 0.1827 0.2500 0.7377
Pa1 0.3573 0.7500 0.3674
Te1 0.1021 0.2500 0.3795
Te2 0.2284 0.7500 0.0130
Te3 0.4318 0.7500 0.7066
# formation energy (no corrections) = -1.014 eV/atom

***

# PBE Li3PaPt3, relaxed
data_Li3PaPt3
_chemical_formula_sum 'Li12 Pa4 Pt12'
_cell_length_a 7.6314
_cell_length_b 7.6314
_cell_length_c 7.6314
_cell_angle_alpha 90.00
_cell_angle_beta 90.00
_cell_angle_gamma 90.00
_symmetry_space_group_name_H-M 'P 21 3'
_symmetry_Int_Tables_number 198
_symmetry_space_group_name_Hall 'P 2ac 2ab 3'
loop_
_atom_site_label
_atom_site_fract_x
_atom_site_fract_y
_atom_site_fract_z
Li1 0.1363 0.3637 0.6363
Li2 0.1476 0.1476 0.1476
Li3 0.1956 0.8044 0.3044
Pa1 0.0306 0.5306 0.9694
Pt1 0.0506 0.6844 0.6274
# relative energy among the computed polymorphs = 0 meV/atom

***

# PBE LiPaPt4, relaxed
data_LiPaPt4
_chemical_formula_sum 'Li2 Pa2 Pt8'
_cell_length_a 9.6114
_cell_length_b 3.9178
_cell_length_c 5.8053
_cell_angle_alpha 90.00
_cell_angle_beta 110.18
_cell_angle_gamma 90.00
_symmetry_space_group_name_H-M 'C 1 2/m 1'
_symmetry_Int_Tables_number 12
loop_
_symmetry_equiv_pos_as_xyz
'x,y,z'
'-x,-y,-z'
'-x,y,-z'
'x,-y,z'
'x+1/2,y+1/2,z'
'-x+1/2,-y+1/2,-z'
'-x+1/2,y+1/2,-z'
'x+1/2,-y+1/2,z'
loop_
_atom_site_label
_atom_site_fract_x
_atom_site_fract_y
_atom_site_fract_z
Li1 0.0000 0.0000 0.0000
Pa1 0.0000 0.0000 0.5000
Pt1 0.1553 0.5000 0.8443
Pt2 0.1638 0.5000 0.3245
# relative energy among the computed polymorphs = 87 meV/atom

***

# PBE Li3PaPt4, relaxed
data_Li3PaPt4
_chemical_formula_sum 'Li6 Pa2 Pt8'
_cell_length_a 6.3736
_cell_length_b 6.3736
_cell_length_c 6.3736
_cell_angle_alpha 90.00
_cell_angle_beta 90.00
_cell_angle_gamma 90.00
_symmetry_space_group_name_H-M 'I m -3 m'
_symmetry_Int_Tables_number 229
_symmetry_space_group_name_Hall '-I 4 2 3'
loop_
_atom_site_label
_atom_site_fract_x
_atom_site_fract_y
_atom_site_fract_z
Li1 0.0000 0.0000 0.5000
Pa1 0.0000 0.0000 0.0000
Pt1 0.2500 0.2500 0.2500
# total DFT energy (no corrections) = -89.734 eV/cell

***

# PBE Li3PaPt3, relaxed
data_Li3PaPt3
_chemical_formula_sum 'Li12 Pa4 Pt12'
_cell_length_a 8.2273
_cell_length_b 12.3561
_cell_length_c 5.4669
_cell_angle_alpha 90.00
_cell_angle_beta 91.12
_cell_angle_gamma 90.00
_symmetry_space_group_name_H-M 'C 1 2/m 1'
_symmetry_Int_Tables_number 12
loop_
_symmetry_equiv_pos_as_xyz
'x,y,z'
'-x,-y,-z'
'-x,y,-z'
'x,-y,z'
'x+1/2,y+1/2,z'
'-x+1/2,-y+1/2,-z'
'-x+1/2,y+1/2,-z'
'x+1/2,-y+1/2,z'
loop_
_atom_site_label
_atom_site_fract_x
_atom_site_fract_y
_atom_site_fract_z
Li1 0.0000 0.1721 0.0000
Li2 0.0000 0.2868 0.5000
Li3 0.0525 0.5000 0.7884
Pa1 0.1947 0.0000 0.6776
Pt1 0.1351 0.0000 0.2050
Pt2 0.1702 0.3445 0.0604
# relative energy among the computed polymorphs = 171 meV/atom

***

# PBE Li2Pa3Pt6, relaxed
data_Li2Pa3Pt6
_chemical_formula_sum 'Li4 Pa6 Pt12'
_cell_length_a 4.1609
_cell_length_b 4.1609
_cell_length_c 23.3583
_cell_angle_alpha 90.00
_cell_angle_beta 90.00
_cell_angle_gamma 90.00
_symmetry_space_group_name_H-M 'I 4/m m m'
_symmetry_Int_Tables_number 139
_symmetry_space_group_name_Hall '-I 4 2'
loop_
_atom_site_label
_atom_site_fract_x
_atom_site_fract_y
_atom_site_fract_z
Li1 0.0000 0.0000 0.0484
Pa1 0.0000 0.0000 0.3061
Pa2 0.0000 0.0000 0.5000
Pt1 0.0000 0.0000 0.1850
Pt2 0.0000 0.5000 0.0986
# total DFT energy (no corrections) = -153.965 eV/cell

***

# PBE Li2PaPt, relaxed
data_Li2PaPt
_chemical_formula_sum 'Li6 Pa3 Pt3'
_cell_length_a 2.9080
_cell_length_b 2.9080
_cell_length_c 30.8983
_cell_angle_alpha 90.00
_cell_angle_beta 90.00
_cell_angle_gamma 120.00
_symmetry_space_group_name_H-M 'R -3 m'
_symmetry_Int_Tables_number 166
_symmetry_space_group_name_Hall '-R 3 2"'
loop_
_atom_site_label
_atom_site_fract_x
_atom_site_fract_y
_atom_site_fract_z
Li1 0.0000 0.0000 0.1011
Pa1 0.0000 0.0000 0.0000
Pt1 0.0000 0.0000 0.5000
# total DFT energy (no corrections) = -58.818 eV/cell

***

# PBE Li3PaPt2, relaxed
data_Li3PaPt2
_chemical_formula_sum 'Li12 Pa4 Pt8'
_cell_length_a 13.8972
_cell_length_b 3.9392
_cell_length_c 9.2745
_cell_angle_alpha 90.00
_cell_angle_beta 126.02
_cell_angle_gamma 90.00
_symmetry_space_group_name_H-M 'C 1 2/m 1'
_symmetry_Int_Tables_number 12
loop_
_symmetry_equiv_pos_as_xyz
'x,y,z'
'-x,-y,-z'
'-x,y,-z'
'x,-y,z'
'x+1/2,y+1/2,z'
'-x+1/2,-y+1/2,-z'
'-x+1/2,y+1/2,-z'
'x+1/2,-y+1/2,z'
loop_
_atom_site_label
_atom_site_fract_x
_atom_site_fract_y
_atom_site_fract_z
Li1 0.0696 0.0000 0.1798
Li2 0.0719 0.5000 0.9184
Li3 0.2347 0.0000 0.0847
Pa1 0.1236 0.5000 0.4959
Pt1 0.0634 0.0000 0.6952
Pt2 0.2106 0.5000 0.2780
# total DFT energy (no corrections) = -123.977 eV/cell

***

# PBE LiPaPt6, relaxed
data_LiPaPt6
_chemical_formula_sum 'Li1 Pa1 Pt6'
_cell_length_a 5.7411
_cell_length_b 5.7411
_cell_length_c 4.6862
_cell_angle_alpha 90.00
_cell_angle_beta 90.00
_cell_angle_gamma 120.00
_symmetry_space_group_name_H-M 'P -6 m 2'
_symmetry_Int_Tables_number 187
_symmetry_space_group_name_Hall 'P -6 2'
loop_
_atom_site_label
_atom_site_fract_x
_atom_site_fract_y
_atom_site_fract_z
Li1 0.0000 0.0000 0.0000
Pa1 0.6667 0.3333 0.5000
Pt1 0.0064 0.5032 0.0000
Pt2 0.1658 0.3316 0.5000
# relative energy among the computed polymorphs = 94 meV/atom

***

# PBE Li4PaPt2, relaxed
data_Li4PaPt2
_chemical_formula_sum 'Li8 Pa2 Pt4'
_cell_length_a 7.7933
_cell_length_b 7.7933
_cell_length_c 3.9280
_cell_angle_alpha 90.00
_cell_angle_beta 90.00
_cell_angle_gamma 90.00
_symmetry_space_group_name_H-M 'P 42/m n m'
_symmetry_Int_Tables_number 136
_symmetry_space_group_name_Hall '-P 4n 2n'
loop_
_atom_site_label
_atom_site_fract_x
_atom_site_fract_y
_atom_site_fract_z
Li1 0.1033 0.3533 0.0000
Pa1 0.0000 0.0000 0.5000
Pt1 0.1815 0.8185 0.0000
# total DFT energy (no corrections) = -65.480 eV/cell

***

# PBE LiPaPt3, relaxed
data_LiPaPt3
_chemical_formula_sum 'Li2 Pa2 Pt6'
_cell_length_a 4.5001
_cell_length_b 5.5568
_cell_length_c 7.4959
_cell_angle_alpha 90.00
_cell_angle_beta 90.00
_cell_angle_gamma 90.00
_symmetry_space_group_name_H-M 'P m m n'
_symmetry_Int_Tables_number 59
loop_
_symmetry_equiv_pos_as_xyz
'x,y,z'
'-x,-y,-z'
'-x+1/2,-y+1/2,z'
'x+1/2,y+1/2,-z'
'x+1/2,-y,-z'
'-x+1/2,y,z'
'-x,y+1/2,-z'
'x,-y+1/2,z'
loop_
_atom_site_label
_atom_site_fract_x
_atom_site_fract_y
_atom_site_fract_z
Li1 0.2500 0.2500 0.1192
Pa1 0.2500 0.7500 0.4181
Pt1 0.2500 0.0024 0.7413
Pt2 0.2500 0.7500 0.0654
# relative energy among the computed polymorphs = 0 meV/atom

***

# PBE LiPaPt6, relaxed
data_LiPaPt6
_chemical_formula_sum 'Li1 Pa1 Pt6'
_cell_length_a 5.7254
_cell_length_b 5.7254
_cell_length_c 4.0411
_cell_angle_alpha 90.00
_cell_angle_beta 90.00
_cell_angle_gamma 90.00
_symmetry_space_group_name_H-M 'P 4/m m m'
_symmetry_Int_Tables_number 123
_symmetry_space_group_name_Hall '-P 4 2'
loop_
_atom_site_label
_atom_site_fract_x
_atom_site_fract_y
_atom_site_fract_z
Li1 0.0000 0.0000 0.0000
Pa1 0.5000 0.5000 0.0000
Pt1 0.0000 0.5000 0.0000
Pt2 0.2452 0.2452 0.5000
# relative energy among the computed polymorphs = 0 meV/atom

***

# PBE LiPaPt4, relaxed
data_LiPaPt4
_chemical_formula_sum 'Li4 Pa4 Pt16'
_cell_length_a 7.5516
_cell_length_b 7.5516
_cell_length_c 7.5516
_cell_angle_alpha 90.00
_cell_angle_beta 90.00
_cell_angle_gamma 90.00
_symmetry_space_group_name_H-M 'F -4 3 m'
_symmetry_Int_Tables_number 216
_symmetry_space_group_name_Hall 'F -4 2 3'
loop_
_atom_site_label
_atom_site_fract_x
_atom_site_fract_y
_atom_site_fract_z
Li1 0.0000 0.0000 0.0000
Pa1 0.2500 0.2500 0.7500
Pt1 0.1257 0.1257 0.3743
# relative energy among the computed polymorphs = 0 meV/atom

***

# PBE Li2Pa2Pt5, relaxed
data_Li2Pa2Pt5
_chemical_formula_sum 'Li8 Pa8 Pt20'
_cell_length_a 15.1854
_cell_length_b 6.6744
_cell_length_c 6.4016
_cell_angle_alpha 90.00
_cell_angle_beta 90.00
_cell_angle_gamma 90.00
_symmetry_space_group_name_H-M 'I m a 2'
_symmetry_Int_Tables_number 46
loop_
_symmetry_equiv_pos_as_xyz
'x,y,z'
'-x,-y,z'
'-x+1/2,y,z'
'x+1/2,-y,z'
'x+1/2,y+1/2,z+1/2'
'-x+1/2,-y+1/2,z+1/2'
'-x,y+1/2,z+1/2'
'x,-y+1/2,z+1/2'
loop_
_atom_site_label
_atom_site_fract_x
_atom_site_fract_y
_atom_site_fract_z
Li1 0.0779 0.0235 0.0000
Pa1 0.0000 0.0000 0.5287
Pa2 0.2500 0.5275 0.0814
Pt1 0.1125 0.7369 0.7646
Pt2 0.1424 0.1898 0.3141
Pt3 0.2500 0.5251 0.5227
# total DFT energy (no corrections) = -237.158 eV/cell

***

# PBE Li5PaPt6, relaxed
data_Li5PaPt6
_chemical_formula_sum 'Li10 Pa2 Pt12'
_cell_length_a 4.1001
_cell_length_b 12.0649
_cell_length_c 7.2863
_cell_angle_alpha 90.00
_cell_angle_beta 90.00
_cell_angle_gamma 90.00
_symmetry_space_group_name_H-M 'C m m m'
_symmetry_Int_Tables_number 65
_symmetry_space_group_name_Hall '-C 2 2'
loop_
_atom_site_label
_atom_site_fract_x
_atom_site_fract_y
_atom_site_fract_z
Li1 0.0000 0.0000 0.0000
Li2 0.0000 0.3155 0.5000
Li3 0.0000 0.3335 0.0000
Pa1 0.0000 0.0000 0.5000
Pt1 0.0000 0.1704 0.2437
Pt2 0.0000 0.5000 0.2383
# total DFT energy (no corrections) = -128.576 eV/cell

***

# PBE LiPaPt3, relaxed
data_LiPaPt3
_chemical_formula_sum 'Li4 Pa4 Pt12'
_cell_length_a 5.3698
_cell_length_b 14.2729
_cell_length_c 5.1896
_cell_angle_alpha 90.00
_cell_angle_beta 90.00
_cell_angle_gamma 90.00
_symmetry_space_group_name_H-M 'C m c m'
_symmetry_Int_Tables_number 63
_symmetry_space_group_name_Hall '-C 2c 2'
loop_
_atom_site_label
_atom_site_fract_x
_atom_site_fract_y
_atom_site_fract_z
Li1 0.0000 0.0284 0.2500
Pa1 0.0000 0.3143 0.7500
Pt1 0.0000 0.5000 0.0000
Pt2 0.2485 0.1467 0.7500
# relative energy among the computed polymorphs = 54 meV/atom